Record 1
Density functional theory data (PBE) for an optimized crystal structure of TmScHgRu.

Calculated volume (Å³/f.u.): 81
DOS(E_F) (states/eV/cell): 3.26
M_tot (μB per formula unit): 0.00
Offset from the most stable computed form (meV/atom): 148
VASP energy (eV/atom): -5.50
DFT formation energy (meV/atom): -402

Unit cell a=4.8600 b=4.8600 c=4.8600 alpha=60.00 beta=60.00 gamma=60.00
Fractional coordinates of all 4 atoms:
Ru1 0.2500 0.2500 0.2500
Tm1 0.0000 0.0000 0.0000
Hg1 0.7500 0.7500 0.7500
Sc1 0.5000 0.5000 0.5000



Record 2
Density functional theory data (PBE) for an optimized crystal structure of ZrScHg2Ru.

Calculated volume (Å³/f.u.): 121
DOS(E_F) (states/eV/cell): 4.50
M_tot (μB per formula unit): 0.00
VASP energy (eV/atom): -4.17
DFT formation energy (meV/atom): 781

Unit cell a=5.1985 b=4.4610 c=5.1985 alpha=90.00 beta=90.00 gamma=90.00
Fractional coordinates of all 5 atoms:
Zr1 0.5000 0.5000 0.5000
Sc1 0.0000 0.0000 0.0000
Ru1 0.0000 0.5000 0.0000
Hg1 0.0000 0.0000 0.5000
Hg2 0.5000 0.0000 0.0000



Record 3
Density functional theory data (PBE) for an optimized crystal structure of HgRuSe4.

Calculated volume (Å³/f.u.): 132
DOS(E_F) (states/eV/cell): 6.95
M_tot (μB per formula unit): 2.90
VASP energy (eV/atom): -2.98
Formation energy from raw total energies (eV/atom): 0.94

Unit cell a=5.7082 b=5.7082 c=5.7082 alpha=60.00 beta=60.00 gamma=60.00
Site moments in Bohr magnetons follow the coordinates.
Fractional coordinates of all 6 atoms:
Hg1 0.7500 0.7500 0.7500  -0.02
Se1 0.8749 0.3750 0.3750  0.07
Se2 0.3750 0.3750 0.8749  0.07
Se3 0.3750 0.3750 0.3750  0.07
Se4 0.3750 0.8749 0.3750  0.07
Ru1 0.0000 0.0000 0.0000  2.37



Record 4
Density functional theory data (PBE) for an optimized crystal structure of HgRu2Se.

Calculated volume (Å³/f.u.): 68
DOS(E_F) (states/eV/cell): 3.62
M_tot (μB per formula unit): 0.00
VASP energy (eV/atom): -5.00
Formation energy from raw total energies (eV/atom): 0.58

Unit cell a=5.3139 b=5.3139 c=5.3139 alpha=147.21 beta=121.66 gamma=68.56
Fractional coordinates of all 4 atoms:
Ru1 0.5291 0.5291 0.0000
Ru2 0.9709 0.9709 0.0000
Se1 0.7500 0.2500 0.5000
Hg1 0.2500 0.7500 0.5000



Record 5
Density functional theory data (PBE) for an optimized crystal structure of Hg2RuSe.

Calculated volume (Å³/f.u.): 83
DOS(E_F) (states/eV/cell): 2.40
M_tot (μB per formula unit): 1.10
VASP energy (eV/atom): -2.76
Formation energy from raw total energies (eV/atom): 0.58

Unit cell a=11.1642 b=11.1642 c=11.1642 alpha=15.15 beta=15.15 gamma=15.15
Site moments in Bohr magnetons follow the coordinates.
Fractional coordinates of all 4 atoms:
Hg1 0.9881 0.9881 0.9881  0.02
Hg2 0.5119 0.5119 0.5119  0.02
Se1 0.7500 0.7500 0.7500  0.02
Ru1 0.2500 0.2500 0.2500  0.98



Record 6
Density functional theory data (PBE) for an optimized crystal structure of HgRu2Se.

Calculated volume (Å³/f.u.): 75
DOS(E_F) (states/eV/cell): 4.61
M_tot (μB per formula unit): 0.22
VASP energy (eV/atom): -5.20
Formation energy from raw total energies (eV/atom): 0.39

Unit cell a=5.4702 b=5.4702 c=4.8478 alpha=80.82 beta=80.82 gamma=31.59
Site moments in Bohr magnetons follow the coordinates.
Fractional coordinates of all 4 atoms:
Ru1 0.0601 0.0601 0.8432  0.14
Ru2 0.7756 0.7756 0.7995  0.07
Se1 0.4503 0.4503 0.5625  0.00
Hg1 0.2139 0.2139 0.2948  0.00



Record 7
Density functional theory data (PBE) for an optimized crystal structure of Hg2RuSe.

Calculated volume (Å³/f.u.): 79
DOS(E_F) (states/eV/cell): 3.87
M_tot (μB per formula unit): 1.71
VASP energy (eV/atom): -2.69
Formation energy from raw total energies (eV/atom): 0.65

Unit cell a=4.8256 b=4.8256 c=4.8256 alpha=60.00 beta=60.00 gamma=60.00
Site moments in Bohr magnetons follow the coordinates.
Fractional coordinates of all 4 atoms:
Ru1 0.5000 0.5000 0.5000  1.48
Hg1 0.2500 0.2500 0.2500  0.02
Hg2 0.0000 0.0000 0.0000  0.00
Se1 0.7500 0.7500 0.7500  0.08



Record 8
Density functional theory data (PBE) for an optimized crystal structure of Hg2RuSe.

Calculated volume (Å³/f.u.): 91
DOS(E_F) (states/eV/cell): 2.74
M_tot (μB per formula unit): 0.00
VASP energy (eV/atom): -3.36
Formation energy from raw total energies (eV/atom): -0.02

Unit cell a=9.3463 b=9.3463 c=9.3463 alpha=20.90 beta=20.90 gamma=20.90
Fractional coordinates of all 4 atoms:
Ru1 0.4913 0.4913 0.4913
Se1 0.7747 0.7747 0.7747
Hg1 0.9988 0.9988 0.9988
Hg2 0.2352 0.2352 0.2352



Record 9
Density functional theory data (PBE) for an optimized crystal structure of Hg2RuSe.

Calculated volume (Å³/f.u.): 79
DOS(E_F) (states/eV/cell): 3.99
M_tot (μB per formula unit): 1.15
VASP energy (eV/atom): -2.77
Formation energy from raw total energies (eV/atom): 0.57

Unit cell a=3.7236 b=3.7205 c=5.7292 alpha=90.00 beta=90.00 gamma=90.00
Site moments in Bohr magnetons follow the coordinates.
Fractional coordinates of all 4 atoms:
Hg1 0.0000 0.0000 0.0077  -0.02
Hg2 0.0000 0.0000 0.4923  -0.02
Se1 0.5000 0.5000 0.7500  0.09
Ru1 0.5000 0.5000 0.2500  1.04



Record 10
Density functional theory data (PBE) for an optimized crystal structure of HgRu2Se.

Calculated volume (Å³/f.u.): 68
DOS(E_F) (states/eV/cell): 3.71
M_tot (μB per formula unit): 0.00
VASP energy (eV/atom): -5.07
Formation energy from raw total energies (eV/atom): 0.51

Unit cell a=3.9947 b=3.0485 c=5.6992 alpha=77.31 beta=90.00 gamma=90.00
Fractional coordinates of all 4 atoms:
Ru1 0.0000 0.1027 0.0377
Ru2 0.0000 0.3973 0.4623
Hg1 0.5000 0.7500 0.7500
Se1 0.5000 0.2500 0.2500



Record 11
Density functional theory data (PBE) for an optimized crystal structure of HgRu2Se.

Calculated volume (Å³/f.u.): 69
DOS(E_F) (states/eV/cell): 4.29
M_tot (μB per formula unit): 0.00
VASP energy (eV/atom): -4.97
Formation energy from raw total energies (eV/atom): 0.61

Unit cell a=3.0658 b=3.0658 c=8.5968 alpha=90.00 beta=90.00 gamma=121.10
Fractional coordinates of all 4 atoms:
Hg1 0.5000 0.5000 0.7500
Se1 0.5000 0.5000 0.2500
Ru1 0.0000 0.0000 0.0301
Ru2 0.0000 0.0000 0.4699



Record 12
Density functional theory data (PBE) for an optimized crystal structure of HgRu2Se.

Calculated volume (Å³/f.u.): 66
DOS(E_F) (states/eV/cell): 4.88
M_tot (μB per formula unit): 0.00
VASP energy (eV/atom): -5.23
Formation energy from raw total energies (eV/atom): 0.35

Unit cell a=8.3999 b=8.3999 c=8.3999 alpha=20.92 beta=20.92 gamma=20.92
Fractional coordinates of all 4 atoms:
Ru1 0.9888 0.9888 0.9888
Ru2 0.5112 0.5112 0.5112
Se1 0.2500 0.2500 0.2500
Hg1 0.7500 0.7500 0.7500



Record 13
Density functional theory data (PBE) for an optimized crystal structure of Hg2RuSe.

Calculated volume (Å³/f.u.): 78
DOS(E_F) (states/eV/cell): 4.77
M_tot (μB per formula unit): 1.16
VASP energy (eV/atom): -2.74
Formation energy from raw total energies (eV/atom): 0.60

Unit cell a=5.5640 b=5.5640 c=5.5640 alpha=137.41 beta=137.41 gamma=61.81
Site moments in Bohr magnetons follow the coordinates.
Fractional coordinates of all 4 atoms:
Hg1 0.0000 0.0000 0.0000  0.00
Hg2 0.5000 0.5000 0.0000  0.00
Ru1 0.2500 0.7500 0.5000  0.94
Se1 0.7500 0.2500 0.5000  0.10



Record 14
Density functional theory data (PBE) for an optimized crystal structure of HgRu2Se.

Calculated volume (Å³/f.u.): 71
DOS(E_F) (states/eV/cell): 5.22
M_tot (μB per formula unit): 0.00
VASP energy (eV/atom): -5.19
Formation energy from raw total energies (eV/atom): 0.39

Unit cell a=4.6350 b=3.0617 c=5.0016 alpha=90.09 beta=90.00 gamma=90.00
Fractional coordinates of all 4 atoms:
Ru1 0.5000 0.3753 0.2312
Ru2 0.0000 0.8744 0.0794
Se1 0.0000 0.3753 0.4416
Hg1 0.5000 0.8750 0.7478



Record 15
Density functional theory data (PBE) for an optimized crystal structure of HgRu2Se.

Calculated volume (Å³/f.u.): 71
DOS(E_F) (states/eV/cell): 3.77
M_tot (μB per formula unit): 0.00
VASP energy (eV/atom): -5.16
Formation energy from raw total energies (eV/atom): 0.42

Unit cell a=7.4290 b=7.4290 c=7.4290 alpha=155.11 beta=155.60 gamma=35.14
Fractional coordinates of all 4 atoms:
Se1 0.5483 0.5483 0.0000
Hg1 0.3045 0.8045 0.5000
Ru1 0.9745 0.9745 0.0000
Ru2 0.6726 0.1726 0.5000